Ca2BiWF | PBE with a Hubbard U | optimized geometry

Properties
theoretical density: 3.9 g cm⁻³
spin magnetization: 0.9430 μB/atom
total DFT energy (no corrections): -3.24 eV/atom

Lattice parameters (Å, degrees): 6.1027 6.1027 5.6389 90.00 90.00 90.00
Last column: nearest neighbours and their distance in Å.
Space group P4/mmm (No. 123)
Unique sites:
Ca1 0.0000 0.5000 0.0000  2 Bi 3.05
Bi1 0.0000 0.0000 0.0000  2 W 2.82, 4 Ca 3.05
W1 0.0000 0.0000 0.5000  2 Bi 2.82
F1 0.5000 0.5000 0.5000  8 Ca 4.15, 4 W 4.32